# 1
## NpPa5 (PBE-GGA)

Data for a relaxed structure of NpPa5.

The density of states at the Fermi level is 22.8 states/eV per cell.

The structure belongs to space group Cmmm (No. 65); the cell edges are 4.6475, 13.6871 and 4.6436 Å and the angles 90.00°, 90.00° and 90.00°. The distinct sites, in fractional coordinates, are Np at (0.0000, 0.0000, 0.0000), Pa at (0.0000, 0.1652, 0.5000), Pa at (0.0000, 0.3349, 0.0000) and Pa at (0.0000, 0.5000, 0.5000).

---

# 2
## NpPa3 (PBE-GGA)

Data for a relaxed structure of NpPa3.

The density of states at the Fermi level is 44.9 states/eV per cell.

The structure belongs to space group Fm-3m (No. 225); the cell edges are 7.2342, 7.2342 and 7.2342 Å and the angles 90.00°, 90.00° and 90.00°. The distinct sites, in fractional coordinates, are Np at (0.0000, 0.0000, 0.0000), Pa at (0.0000, 0.0000, 0.5000) and Pa at (0.2500, 0.2500, 0.2500).

---

# 3
## NpPa3 (PBE-GGA)

Data for a relaxed structure of NpPa3.

The density of states at the Fermi level is 19.4 states/eV per cell.

The structure belongs to space group I4/mmm (No. 139); the cell edges are 4.6312, 4.6312 and 9.0772 Å and the angles 90.00°, 90.00° and 90.00°. The distinct sites, in fractional coordinates, are Np at (0.0000, 0.0000, 0.0000), Pa at (0.0000, 0.0000, 0.5000) and Pa at (0.0000, 0.5000, 0.2500).

---

# 4
## Np6Pa (PBE-GGA)

Data for a relaxed structure of Np6Pa.

The density of states at the Fermi level is 40.5 states/eV per cell.

The structure belongs to space group Im-3m (No. 229); the cell edges are 6.8188, 6.8188 and 6.8188 Å and the angles 90.00°, 90.00° and 90.00°. The distinct sites, in fractional coordinates, are Np at (0.0000, 0.2500, 0.5000) and Pa at (0.0000, 0.0000, 0.0000).

---

# 5
## Np4Pa (PBE-GGA)

Data for a relaxed structure of Np4Pa.

The density of states at the Fermi level is 24.9 states/eV per cell.

The structure belongs to space group Pm-3m (No. 221); the cell edges are 5.2057, 5.2057 and 5.2057 Å and the angles 90.00°, 90.00° and 90.00°. The distinct sites, in fractional coordinates, are Np at (0.0000, 0.0000, 0.0000), Np at (0.0000, 0.5000, 0.5000) and Pa at (0.5000, 0.5000, 0.5000).

---

# 6
## NpPa3 (PBE-GGA)

Data for a relaxed structure of NpPa3.

The density of states at the Fermi level is 9.4 states/eV per cell.

The structure belongs to space group Pmm2 (No. 25); the cell edges are 3.1793, 5.4458 and 5.4445 Å and the angles 90.00°, 90.00° and 90.00°. The distinct sites, in fractional coordinates, are Np at (0.0000, 0.0000, 0.0000), Pa at (0.0000, 0.5000, 0.5011), Pa at (0.5000, 0.0000, 0.4997) and Pa at (0.5000, 0.5000, 0.0011).

---

# 7
## NpPa3 (PBE-GGA)

Data for a relaxed structure of NpPa3.

The density of states at the Fermi level is 10.1 states/eV per cell.

The structure belongs to space group Pm-3m (No. 221); the cell edges are 4.5986, 4.5986 and 4.5986 Å and the angles 90.00°, 90.00° and 90.00°. The distinct sites, in fractional coordinates, are Np at (0.0000, 0.0000, 0.0000) and Pa at (0.0000, 0.5000, 0.5000).

---

# 8
## NpPa2Pb (PBE-GGA)

Data for a relaxed structure of NpPa2Pb.

The density of states at the Fermi level is 29.0 states/eV per cell.

The structure belongs to space group R-3m (No. 166, hexagonal axes); the cell edges are 3.6822, 3.6822 and 25.1138 Å and the angles 90.00°, 90.00° and 120.00°. The distinct sites, in fractional coordinates, are Np at (0.0000, 0.0000, 0.0000), Pa at (0.0000, 0.0000, 0.2698) and Pb at (0.0000, 0.0000, 0.5000).

---

Calculated VASP energy in order - -0.7335, -0.7413, -0.7503, -0.8781, -0.8015, -0.7505, -0.7507, -0.6362 Ry/atom